No. 1
Below is crystalline Er4CoAu3 at its relaxed geometry, with properties calculated at the GGA-PBE level.

a = 3.492 Å, b = 3.492 Å, c = 14.201 Å
α = 90.00°, β = 90.00°, γ = 90.00°
Sites, in units of the cell vectors:
Er: 0.000 0.000 0.114
Er: 0.000 0.000 0.371
Er: 0.000 0.000 0.629
Er: 0.000 0.000 0.886
Co: 0.500 0.500 0.000
Au: 0.500 0.500 0.244
Au: 0.500 0.500 0.500
Au: 0.500 0.500 0.756

Output
**Space-group type**: P4/mmm (123)
**Magnetization**: 0.7 Bohr magnetons per cell
**ρ**: 12.65 g/cm³
**Formation energy**: -0.70 eV per atom

No. 2
Below is crystalline Pr3Sn2Pt at its relaxed geometry, with properties calculated at the GGA-PBE level.

a = 12.634 Å, b = 4.616 Å, c = 12.143 Å
α = 90.00°, β = 90.00°, γ = 90.00°
Sites, in units of the cell vectors:
Pr: 0.054 0.250 0.128
Pr: 0.119 0.750 0.553
Pr: 0.229 0.250 0.802
Pr: 0.271 0.750 0.302
Pr: 0.381 0.250 0.053
Pr: 0.446 0.750 0.628
Pr: 0.554 0.250 0.372
Pr: 0.619 0.750 0.947
Pr: 0.729 0.250 0.698
Pr: 0.771 0.750 0.198
Pr: 0.881 0.250 0.447
Pr: 0.946 0.750 0.872
Sn: 0.007 0.750 0.307
Sn: 0.190 0.750 0.003
Sn: 0.310 0.250 0.503
Sn: 0.493 0.250 0.807
Sn: 0.507 0.750 0.193
Sn: 0.690 0.750 0.497
Sn: 0.810 0.250 0.997
Sn: 0.993 0.250 0.693
Pt: 0.124 0.250 0.371
Pt: 0.376 0.750 0.871
Pt: 0.624 0.250 0.129
Pt: 0.876 0.750 0.629

Output
**Space-group type**: Pnma (62)
**Magnetization**: 1.4 Bohr magnetons per cell
**ρ**: 8.02 g/cm³
**Formation energy**: -0.87 eV per atom

No. 3
Below is crystalline MnH2Pd at its relaxed geometry, with properties calculated at the GGA-PBE level.

a = 5.159 Å, b = 5.159 Å, c = 5.159 Å
α = 32.59°, β = 32.59°, γ = 32.59°
Sites, in units of the cell vectors:
Mn: 0.000 0.000 0.000
H: 0.379 0.379 0.379
H: 0.621 0.621 0.621
Pd: 0.500 0.500 0.500

Output
**Energy**: -5.310 eV/atom
**Space-group type**: R-3m (166)
**Magnetization**: 3.4 Bohr magnetons per cell
**ρ**: 7.66 g/cm³

No. 4
Below is crystalline NbGaRh2 at its relaxed geometry, with properties calculated at the GGA-PBE level.

a = 5.623 Å, b = 5.623 Å, c = 5.623 Å
α = 104.53°, β = 104.53°, γ = 119.88°
Sites, in units of the cell vectors:
Nb: 0.000 0.000 0.000
Nb: 0.750 0.250 0.500
Ga: 0.250 0.750 0.500
Ga: 0.500 0.500 0.000
Rh: 0.130 0.625 0.005
Rh: 0.375 0.380 0.505
Rh: 0.620 0.125 0.995
Rh: 0.875 0.870 0.495

Output
**Space-group type**: I-42d (122)
**Magnetization**: 0.0 Bohr magnetons per cell
**ρ**: 9.17 g/cm³
**Formation energy**: -0.06 eV per atom

No. 5
Below is crystalline TaSI2 at its relaxed geometry, with properties calculated at the GGA-PBE level.

a = 4.995 Å, b = 4.995 Å, c = 4.995 Å
α = 60.00°, β = 60.00°, γ = 60.00°
Sites, in units of the cell vectors:
Ta: 0.000 0.000 0.000
S: 0.500 0.500 0.500
I: 0.250 0.250 0.250
I: 0.750 0.750 0.750

Output
**Space-group type**: Fm-3m (225)
**Magnetization**: 0.2 Bohr magnetons per cell
**ρ**: 8.80 g/cm³
**Formation energy (no corrections)**: 0.73 eV/atom

No. 6
Below is crystalline CaCo2Ni at its relaxed geometry, with properties calculated at the GGA-PBE level.

a = 2.808 Å, b = 4.134 Å, c = 5.474 Å
α = 90.00°, β = 103.52°, γ = 90.00°
Sites, in units of the cell vectors:
Ca: 0.000 0.000 0.000
Co: 0.300 0.500 0.675
Co: 0.700 0.500 0.325
Ni: 0.500 0.000 0.500

Output
**Space-group type**: P2/m (10)
**Magnetization**: 3.4 Bohr magnetons per cell
**ρ**: 5.82 g/cm³
**Formation energy**: 0.39 eV per atom

What did the third record say?
Below is crystalline MnH2Pd at its relaxed geometry, with properties calculated at the GGA-PBE level.

a = 5.159 Å, b = 5.159 Å, c = 5.159 Å
α = 32.59°, β = 32.59°, γ = 32.59°
Sites, in units of the cell vectors:
Mn: 0.000 0.000 0.000
H: 0.379 0.379 0.379
H: 0.621 0.621 0.621
Pd: 0.500 0.500 0.500

Output
**Energy**: -5.310 eV/atom
**Space-group type**: R-3m (166)
**Magnetization**: 3.4 Bohr magnetons per cell
**ρ**: 7.66 g/cm³

What is the formula in the sixth record? CaCo2Ni